{
  "formula": "K2NaRhAu",
  "functional": "GGA-PBE",
  "state": "relaxed",
  "cell": [[-3.580, -2.853, -4.155], [2.517, -4.218, 0.728], [-3.948, -1.581, 4.487]],
  "species": ["K", "Au", "Rh", "K", "Na"],
  "frac_coords": [[0.500, 0.000, 0.000], [0.500, 0.500, 0.500], [0.000, 0.500, 0.000], [0.000, 0.000, 0.500], [0.000, 0.000, 0.000]],
  "formation_enthalpy_0k_mev_per_atom": 701,
  "space_group": "P4/mmm",
  "n_ef_per_ev_cell": 3.44,
  "magnetic_moment_mub_per_fu": 1.0,
  "dft_energy_ev_per_atom": -2.13
}

***

{
  "formula": "TiCdRh2",
  "functional": "GGA-PBE",
  "state": "relaxed",
  "cell": [[-0.540, -2.306, -2.457], [4.226, -0.602, -0.364], [-0.187, -3.100, 2.950]],
  "species": ["Rh", "Rh", "Cd", "Ti"],
  "frac_coords": [[0.000, 0.000, 0.500], [0.000, 0.500, 0.000], [0.500, 0.500, 0.500], [0.500, 0.000, 0.000]],
  "formation_enthalpy_0k_mev_per_atom": -499,
  "space_group": "P4/mmm",
  "n_ef_per_ev_cell": 0.70,
  "magnetic_moment_mub_per_fu": 0.0,
  "dft_energy_ev_per_atom": -6.38
}

***

{
  "formula": "Ce3ThH",
  "functional": "GGA-PBE",
  "state": "relaxed",
  "cell": [[-4.231, -0.279, -2.444], [-2.437, -0.186, 4.240], [-0.335, 4.883, 0.022]],
  "species": ["Ce", "Ce", "Ce", "Th", "H"],
  "frac_coords": [[0.000, 0.000, 0.500], [0.000, 0.500, 0.000], [0.500, 0.000, 0.000], [0.500, 0.500, 0.500], [0.000, 0.000, 0.000]],
  "space_group": "Pm-3m",
  "n_ef_per_ev_cell": 11.08,
  "magnetic_moment_mub_per_fu": 0.0,
  "dft_energy_ev_per_atom": -5.84
}

***

{
  "formula": "GdErCd",
  "functional": "GGA-PBE",
  "state": "relaxed",
  "cell": [[-2.929, -0.252, 1.969], [-2.272, -2.904, -3.752], [2.768, -2.333, 3.818]],
  "species": ["Cd", "Gd", "Er"],
  "frac_coords": [[0.700, 0.667, 0.333], [0.371, 0.333, 0.667], [0.929, 0.000, 0.000]],
  "formation_enthalpy_0k_mev_per_atom": -81,
  "space_group": "P3m1",
  "n_ef_per_ev_cell": 3.48,
  "magnetic_moment_mub_per_fu": 7.4,
  "relative_energy_ev_per_fu": 0.38,
  "dft_energy_ev_per_atom": -6.60
}

***

Question: What is the formula in the third record?
Answer: Ce3ThH